DyTmNiPt: optimized geometry, PBE-GGA.

## Properties
- D(E_F) (states/eV/f.u.) = 3.32
- size of the total moment (μB/cell) = 0.0
- final energy (eV for the cell shown) = -97.1
- calculated formation energy (meV/atom) = -843
- calculated volume (Å³/cell) = 321.0

abc: 6.8471 6.8471 6.8471
angles: 90.00 90.00 90.00
Closest atoms and distances in Å follow each position.
Space group F-43m (No. 216)
Symmetry-distinct sites (fractional):
Dy (0.0000, 0.0000, 0.0000) [4 per cell]  4 Ni 2.96, 4 Pt 2.96
Tm (0.0000, 0.0000, 0.5000) [4 per cell]  4 Ni 2.96, 4 Pt 2.96
Ni (0.2500, 0.2500, 0.2500) [4 per cell]  4 Dy 2.96, 4 Tm 2.96
Pt (0.2500, 0.2500, 0.7500) [4 per cell]  4 Dy 2.96, 4 Tm 2.96



NdScSi3: optimized geometry, PBE-GGA.

## Properties
- D(E_F) (states/eV/f.u.) = 1.91
- size of the total moment (μB/cell) = 0.0
- final energy (eV for the cell shown) = -123.0
- formation energy without anion corrections (meV per atom) = -675
- calculated volume (Å³/cell) = 390.4

abc: 4.1390 24.1750 3.9020
angles: 90.00 90.00 90.00
Closest atoms and distances in Å follow each position.
Space group Cmcm (No. 63)
Symmetry-distinct sites (fractional):
Nd (0.0000, 0.0732, 0.2500) [4 per cell]  12 Si 3.06-3.38
Sc (0.0000, 0.2036, 0.7500) [4 per cell]  7 Si 2.72-2.88
Si (0.0000, 0.3160, 0.7500) [4 per cell]  2 Si 2.42
Si (0.0000, 0.3751, 0.2500) [4 per cell]  3 Si 2.38-2.42
Si (0.0000, 0.4735, 0.2500) [4 per cell]  3 Si 2.34-2.38



Al2CuAs: optimized geometry, PBE-GGA.

## Properties
- D(E_F) (states/eV/f.u.) = 1.71
- size of the total moment (μB/cell) = 0.0
- final energy (eV for the cell shown) = -16.1
- calculated formation energy (meV/atom) = 22
- calculated volume (Å³/cell) = 67.3

abc: 3.5869 3.5869 5.2291
angles: 90.00 90.00 90.00
Closest atoms and distances in Å follow each position.
Space group P4mm (No. 99)
Symmetry-distinct sites (fractional):
Al (0.0000, 0.0000, 0.0000) [1 per cell]  2 As 2.60-2.63, 4 Cu 2.61
Al (0.5000, 0.5000, 0.3502) [1 per cell]  1 Cu 2.46, 4 As 2.65
Cu (0.5000, 0.5000, 0.8792) [1 per cell]  5 Al 2.46-2.61
As (0.0000, 0.0000, 0.4966) [1 per cell]  6 Al 2.60-2.65



NdDy2Zn: optimized geometry, PBE-GGA.

## Properties
- D(E_F) (states/eV/f.u.) = 5.35
- size of the total moment (μB/cell) = 0.0
- final energy (eV for the cell shown) = -15.4
- calculated formation energy (meV/atom) = -30
- calculated volume (Å³/cell) = 109.6

abc: 4.7795 4.7795 4.7959
angles: 90.00 90.00 90.00
Closest atoms and distances in Å follow each position.
Space group P4/mmm (No. 123)
Symmetry-distinct sites (fractional):
Nd (0.0000, 0.0000, 0.0000) [1 per cell]  4 Zn 3.38, 8 Dy 3.39
Dy (0.0000, 0.5000, 0.5000) [2 per cell]  4 Dy 3.38, 4 Zn 3.39, 4 Nd 3.39
Zn (0.5000, 0.5000, 0.0000) [1 per cell]  4 Nd 3.38, 8 Dy 3.39



YHgSe2O8: optimized geometry, PBE-GGA.

## Properties
- D(E_F) (states/eV/f.u.) = 3.81
- size of the total moment (μB/cell) = 0.6
- final energy (eV for the cell shown) = -135.0
- formation energy without anion corrections (meV per atom) = -1173
- calculated volume (Å³/cell) = 444.0

abc: 9.2699 5.8835 8.1625
angles: 90.00 94.15 90.00
Closest atoms and distances in Å follow each position.
Space group C2/m (No. 12)
Symmetry-distinct sites (fractional):
Y (0.0000, 0.0000, 0.0000) [2 per cell]  6 O 2.23-2.29
Hg (0.0000, 0.0000, 0.5000) [2 per cell]  2 O 2.49
Se (0.1577, 0.5000, 0.2268) [4 per cell]  4 O 1.66-1.69
O (0.0516, 0.2685, 0.1981) [8 per cell]  1 Se 1.69
O (0.2253, 0.0000, 0.9199) [4 per cell]  1 Se 1.67
O (0.2362, 0.5000, 0.4160) [4 per cell]  1 Se 1.66